Below is SrErSn after structural relaxation, with properties calculated at the PBE level.

Geometry as extended XYZ:
```
6
Lattice="-3.413 3.704 1.093 0.355 -3.519 0.882 7.978 3.813 11.994" Properties=species:S:1:pos:R:3 pbc="T T T"
Er 0.714 2.612 5.529
Sr 6.189 2.560 10.652
Er 2.802 3.610 8.668
Sn -2.233 1.202 1.103
Sr 0.737 -0.046 2.455
Sn 3.464 1.259 6.552
```

As for the space group: P4/mmm. The value obtained for the energy relative to the elements is -1.00 eV per formula unit.


Below is SrErSn2 after structural relaxation, with properties calculated at the PBE level.

Geometry as extended XYZ:
```
4
Lattice="4.441 0.000 0.000 0.000 5.122 0.000 0.000 0.000 5.122" Properties=species:S:1:pos:R:3 pbc="T T T"
Sr 2.221 2.561 2.561
Sn 0.000 0.000 2.561
Er 2.221 0.000 0.000
Sn 0.000 2.561 0.000
```

As for the space group: P4/mmm. The value obtained for the energy relative to the elements is -1.99 eV per formula unit.


Below is SrErSn2 after structural relaxation, with properties calculated at the PBE level.

Geometry as extended XYZ:
```
4
Lattice="-0.303 -1.118 3.860 3.538 -1.911 -0.276 3.486 6.155 2.056" Properties=species:S:1:pos:R:3 pbc="T T T"
Sn 2.752 4.859 1.623
Sr 3.360 1.563 2.820
Sn 0.734 1.296 0.433
Er 1.617 -1.514 1.792
```

As for the space group: P4/mmm. The value obtained for the energy relative to the elements is -2.34 eV per formula unit.


Below is SrErTlSn after structural relaxation, with properties calculated at the PBE level.

Geometry as extended XYZ:
```
4
Lattice="5.525 0.000 0.000 2.763 4.785 0.000 2.763 1.595 4.511" Properties=species:S:1:pos:R:3 pbc="T T T"
Er 0.000 0.000 0.000
Tl 2.763 1.595 1.128
Sr 5.525 3.190 2.256
Sn 8.288 4.785 3.383
```

As for the space group: F-43m. The value obtained for the energy relative to the elements is -1.63 eV per formula unit.


Below is TbErSn after structural relaxation, with properties calculated at the PBE level.

Geometry as extended XYZ:
```
12
Lattice="-1.638 -2.946 3.521 2.981 -5.284 -3.034 8.435 1.692 5.339" Properties=species:S:1:pos:R:3 pbc="T T T"
Er 8.763 -4.093 5.711
Sn 3.631 -1.697 1.956
Tb 2.962 -4.734 2.478
Sn 6.725 -1.783 6.696
Tb 0.719 -2.243 3.518
Er 3.884 -2.131 5.084
Sn 3.053 -4.754 -0.871
Er 1.015 -2.444 0.114
Tb 9.059 -4.295 2.307
Tb 6.816 -1.804 3.348
Er 5.894 -4.406 0.742
Sn 6.147 -4.840 3.869
```

As for the space group: Pnma. The value obtained for the energy relative to the elements is -1.76 eV per formula unit.


Below is TbErSn2 after structural relaxation, with properties calculated at the PBE level.

Geometry as extended XYZ:
```
4
Lattice="-2.566 -2.324 -0.185 1.959 -2.000 -2.044 3.198 -4.092 7.069" Properties=species:S:1:pos:R:3 pbc="T T T"
Sn 2.408 -3.081 5.323
Tb 1.296 -4.208 2.420
Sn 0.790 -1.011 1.746
Er -0.303 -2.162 -1.115
```

As for the space group: P4/mmm. The value obtained for the energy relative to the elements is -2.48 eV per formula unit.